Crystalline YSbAu3 at its relaxed geometry, computed with GGA-PBE.

Unit cell a=5.149 b=5.149 c=5.149 alpha=90.00 beta=90.00 gamma=90.00
Atoms (fractional coordinates):
Y 0.000 0.000 0.000
Sb 0.500 0.500 0.500
Au 0.000 0.500 0.500
Au 0.500 0.000 0.500
Au 0.500 0.500 0.000

energy relative to the elements, uncorrected: 0.116 eV/atom
space group: Pm-3m, No. 221
energy above the most stable polymorph in this dataset: 0 meV per atom
magnetic moment: 0.00 μB/f.u.